No. 1
DFT (PBE-GGA) results for CaPu2Sn3 after structural relaxation.

```
CaPu2Sn3
1.0
3.9891 0.0000 0.0000
0.0000 3.9890 0.0000
0.0000 0.0000 10.3348
Sn Ca Pu
3 1 2
direct
0.0000 0.0000 0.3233
0.0000 0.0000 0.0000
0.0000 0.0000 0.6767
0.5000 0.5000 0.5000
0.5000 0.5000 0.1540
0.5000 0.5000 0.8460
```

SG = No. 123
calculated formation energy = -0.36 eV per atom

=====

No. 2
DFT (PBE-GGA) results for Na2MgAs2 after structural relaxation.

```
Na2MgAs2
1.0
6.9386 0.0000 0.0000
0.0000 6.9386 0.0000
0.0000 0.0000 4.8061
Na As Mg
4 4 2
direct
0.3330 0.1670 0.5000
0.8330 0.3330 0.5000
0.6670 0.8330 0.5000
0.1670 0.6670 0.5000
0.1300 0.3700 0.0000
0.3700 0.8700 0.0000
0.6300 0.1300 0.0000
0.8700 0.6300 0.0000
0.5000 0.5000 0.0000
0.0000 0.0000 0.0000
```

SG = No. 127
calculated formation energy = -0.42 eV per atom
polymorph energy (0 for the lowest one) = 0 meV/atom

=====

| no. | final energy (eV per atom) | density of states at the Fermi level (states/eV per atom) |
| --- | --- | --- |
| 1 | -7.48 | 3.49 |
| 2 | -3.13 | 0.07 |